(1)
Computed, not measured: MgAlCu2 after structural relaxation at the GGA-PBE level of DFT.

Computed properties:
**Final energy**: -3.51 eV/atom
**Magnetization**: 0.0 μB/cell
**Space-group type**: Pm (6)
**Energy of formation from the pure elements**: -123 meV per atom
**Fermi-level density of states**: 1.51 states/eV/f.u.

Structure (extended XYZ):
```
4
Lattice="-1.080 -4.024 0.199 2.756 -0.738 0.039 1.404 -0.131 4.957" Properties=species:S:1:pos:R:3 pbc="T T T"
Cu -0.018 -2.088 1.399
Cu 1.928 -0.277 4.855
Al 2.756 -2.696 4.145
Mg 1.901 -0.399 2.250
```

---

(2)
Computed, not measured: Pm2ZnN after structural relaxation at the GGA-PBE level of DFT.

Computed properties:
**Final energy**: -5.09 eV/atom
**Magnetization**: 0.0 μB/cell
**Space-group type**: P4/mmm (123)
**Polymorph energy (0 for the lowest one)**: 1.71 eV per formula unit
**ΔE_f (raw)**: -0.318 eV/atom
**Fermi-level density of states**: 3.91 states/eV/f.u.

Structure (extended XYZ):
```
4
Lattice="-2.587 -0.923 1.616 1.827 -0.732 2.506 -0.847 7.068 2.682" Properties=species:S:1:pos:R:3 pbc="T T T"
Zn -0.804 2.707 3.402
N -0.380 -0.827 2.061
Pm -0.166 1.384 0.525
Pm -0.681 5.685 2.157
```

---

(3)
Computed, not measured: ZrCu2Re after structural relaxation at the GGA-PBE level of DFT.

Computed properties:
**Final energy**: -7.16 eV/atom
**Magnetization**: 0.0 μB/cell
**Space-group type**: Cmmm (65)
**Energy of formation from the pure elements**: 136 meV per atom
**Polymorph energy (0 for the lowest one)**: 0.22 eV per formula unit
**Fermi-level density of states**: 3.84 states/eV/f.u.

Structure (extended XYZ):
```
4
Lattice="4.756 0.003 -0.022 -1.498 4.514 -0.022 0.011 0.016 2.797" Properties=species:S:1:pos:R:3 pbc="T T T"
Cu 0.000 0.000 0.000
Cu 1.629 2.259 -0.022
Zr -0.743 2.265 1.387
Re 2.384 0.009 1.387
```

---

(4)
Computed, not measured: CsCeBeS4 after structural relaxation at the GGA-PBE level of DFT.

Computed properties:
**Final energy**: -5.18 eV/atom
**Magnetization**: 0.6 μB/cell
**Space-group type**: P2_1/m (11)
**ΔE_f (raw)**: -1.323 eV/atom
**Fermi-level density of states**: 2.81 states/eV/f.u.

Structure (extended XYZ):
```
14
Lattice="6.882 0.000 0.183 0.000 5.428 0.000 -2.421 0.000 9.516" Properties=species:S:1:pos:R:3 pbc="T T T"
S -0.629 0.021 2.939
S 1.371 4.071 5.342
S 5.091 2.735 6.760
S 1.834 1.357 7.627
S 3.091 1.357 4.357
S 2.628 4.071 2.072
S 5.091 5.407 6.760
S -0.629 2.693 2.939
Cs 2.865 4.071 9.331
Cs 1.596 1.357 0.368
Be 0.984 4.071 3.287
Be 3.477 1.357 6.412
Ce 0.473 1.357 5.323
Ce 3.989 4.071 4.376
```

---

(5)
Computed, not measured: NaB3H8 after structural relaxation at the GGA-PBE level of DFT.

Computed properties:
**Final energy**: -4.22 eV/atom
**Magnetization**: 0.0 μB/cell
**Space-group type**: Pmmn (59)
**Fermi-level density of states**: 0.00 states/eV/f.u.

Structure (extended XYZ):
```
24
Lattice="4.627 0.000 0.000 0.000 5.899 0.000 0.000 0.000 7.767" Properties=species:S:1:pos:R:3 pbc="T T T"
H 3.611 1.027 5.262
H 1.298 4.872 1.379
H 3.604 3.653 3.883
H 0.000 2.639 5.268
H 1.016 1.027 2.505
H 1.024 3.653 3.883
H 3.330 4.872 6.388
H 1.290 2.245 0.000
H 2.314 3.260 6.382
H 3.330 4.872 1.379
H 2.314 3.260 1.385
H 3.338 2.245 0.000
H 3.611 1.027 2.505
H 0.000 2.639 2.499
H 1.298 4.872 6.388
H 1.016 1.027 5.262
Na 0.000 0.298 0.000
Na 2.314 5.601 3.883
B 2.314 4.428 0.886
B 0.000 1.471 4.769
B 2.314 2.883 0.000
B 0.000 3.016 3.883
B 0.000 1.471 2.998
B 2.314 4.428 6.881
```

---

(6)
Computed, not measured: AsIBr2N after structural relaxation at the GGA-PBE level of DFT.

Computed properties:
**Final energy**: -1.57 eV/atom
**Magnetization**: 0.0 μB/cell
**Space-group type**: P4/mmm (123)
**Polymorph energy (0 for the lowest one)**: 4.88 eV per formula unit
**ΔE_f (raw)**: 2.006 eV/atom
**Fermi-level density of states**: 14.35 states/eV/f.u.

Structure (extended XYZ):
```
5
Lattice="-2.330 0.063 -5.097 2.257 -5.012 -1.094 -4.585 -2.515 2.065" Properties=species:S:1:pos:R:3 pbc="T T T"
I 0.000 0.000 0.000
Br -1.165 0.031 -2.548
Br 1.128 -2.506 -0.547
As -2.292 -1.257 1.033
N -2.329 -3.732 -2.063
```

---

(7)
Computed, not measured: Ta2Nb2Al after structural relaxation at the GGA-PBE level of DFT.

Computed properties:
**Final energy**: -9.61 eV/atom
**Magnetization**: 0.0 μB/cell
**Space-group type**: C2/m (12)
**Energy of formation from the pure elements**: -89 meV per atom
**Polymorph energy (0 for the lowest one)**: 0.00 eV per formula unit
**Fermi-level density of states**: 5.68 states/eV/f.u.

Structure (extended XYZ):
```
10
Lattice="4.514 0.000 -1.235 -0.490 5.382 -1.793 -0.401 0.227 7.403" Properties=species:S:1:pos:R:3 pbc="T T T"
Al -0.368 4.037 -1.345
Al 4.391 1.346 -1.683
Ta 3.141 2.531 2.614
Ta 2.896 5.222 1.718
Ta 0.727 0.387 2.658
Ta 0.482 3.078 1.762
Nb 1.309 2.090 4.786
Nb 1.064 4.782 3.890
Nb 2.559 0.828 0.486
Nb 2.313 3.519 -0.410
```

---

(8)
Computed, not measured: Tm2Tl3Pb after structural relaxation at the GGA-PBE level of DFT.

Computed properties:
**Final energy**: -3.45 eV/atom
**Magnetization**: 0.0 μB/cell
**Space-group type**: P-1 (2)
**Energy of formation from the pure elements**: -160 meV per atom
**Fermi-level density of states**: 3.98 states/eV/f.u.

Structure (extended XYZ):
```
12
Lattice="-2.418 -0.227 3.983 0.795 -10.441 -2.889 7.122 1.246 1.709" Properties=species:S:1:pos:R:3 pbc="T T T"
Tm -0.248 -1.511 2.502
Tm 3.404 -0.797 2.054
Tm 2.094 -8.625 0.749
Tm 5.746 -7.911 0.301
Tl 3.894 -5.808 2.031
Tl 5.521 -3.011 3.200
Tl 2.299 -3.350 3.948
Tl 1.605 -3.614 0.773
Tl 3.200 -6.072 -1.144
Tl -0.022 -6.411 -0.397
Pb 1.833 -9.503 -2.195
Pb 3.665 0.081 4.999
```

---

(9)
Computed, not measured: K3Ba3RhO8 after structural relaxation at the GGA-PBE level of DFT.

Computed properties:
**Final energy**: -5.30 eV/atom
**Magnetization**: 3.0 μB/cell
**Space-group type**: R-3m (166)
**ΔE_f (raw)**: -1.561 eV/atom
**Fermi-level density of states**: 13.57 states/eV/f.u.

Structure (extended XYZ):
```
15
Lattice="-6.661 -3.350 1.146 6.196 -2.671 3.377 -2.966 6.686 2.302" Properties=species:S:1:pos:R:3 pbc="T T T"
Ba -1.716 0.333 3.413
Ba 1.615 2.008 2.840
Ba -4.814 1.668 1.724
K 3.098 -1.335 1.689
K 0.000 0.000 0.000
K -0.233 -3.010 2.262
O 2.900 1.262 5.126
O -1.236 -0.819 5.838
O -4.094 1.062 4.139
O -0.948 2.920 3.029
O -2.484 -2.255 3.797
O -2.196 1.484 0.988
O 0.662 -0.397 2.686
O -6.332 -0.596 1.700
Rh -1.483 3.343 1.151
```

---

(10)
Computed, not measured: Li23Hg6 after structural relaxation at the GGA-PBE level of DFT.

Computed properties:
**Final energy**: -1.78 eV/atom
**Magnetization**: 0.0 μB/cell
**Space-group type**: Fm-3m (225)
**Energy of formation from the pure elements**: -199 meV per atom
**Fermi-level density of states**: 3.78 states/eV/f.u.

Structure (extended XYZ):
```
29
Lattice="-6.853 3.689 4.849 -3.425 -4.474 7.234 1.548 3.129 8.479" Properties=species:S:1:pos:R:3 pbc="T T T"
Li -4.365 1.171 10.281
Li -3.995 0.062 15.581
Li -3.708 3.847 9.174
Li -6.835 2.812 10.127
Li -4.735 2.281 4.981
Li -5.139 -0.393 6.041
Li -0.938 -0.673 7.857
Li -5.519 1.481 12.999
Li -2.653 3.409 6.664
Li -2.861 -2.179 6.285
Li -2.392 2.516 12.047
Li -3.427 1.844 2.424
Li -5.869 4.522 14.278
Li -1.895 -0.469 10.436
Li 0.774 1.564 4.240
Li -6.338 -0.173 8.516
Li -5.022 -1.504 11.388
Li -3.211 0.862 7.563
Li -1.712 -2.237 3.617
Li -7.740 2.077 18.231
Li -8.586 0.368 13.597
Li -0.990 0.266 2.331
Li -0.144 1.975 6.965
Hg -3.173 -0.034 12.882
Hg -5.556 2.377 7.680
Hg -1.534 2.109 9.419
Hg -4.815 3.875 11.740
Hg -3.915 -1.532 8.822
Hg -7.196 0.234 11.144
```

---

(11)
Computed, not measured: PrErTlGe after structural relaxation at the GGA-PBE level of DFT.

Computed properties:
**Final energy**: -4.50 eV/atom
**Magnetization**: 0.0 μB/cell
**Space-group type**: F-43m (216)
**Energy of formation from the pure elements**: -418 meV per atom
**Fermi-level density of states**: 2.87 states/eV/f.u.

Structure (extended XYZ):
```
4
Lattice="-4.450 -2.618 1.208 -0.436 -5.159 -1.146 0.013 -3.593 3.900" Properties=species:S:1:pos:R:3 pbc="T T T"
Pr -1.218 -2.842 0.990
Tl 0.000 0.000 0.000
Ge -2.436 -5.685 1.981
Er -3.655 -8.527 2.971
```

---

(12)
Computed, not measured: PuUPbO6 after structural relaxation at the GGA-PBE level of DFT.

Computed properties:
**Final energy**: -9.17 eV/atom
**Magnetization**: 8.0 μB/cell
**Space-group type**: P-31c (163)
**ΔE_f (raw)**: -2.608 eV/atom
**Fermi-level density of states**: 8.14 states/eV/f.u.

Structure (extended XYZ):
```
18
Lattice="-2.517 -5.340 -0.671 3.245 2.329 -4.399 8.259 -4.368 3.780" Properties=species:S:1:pos:R:3 pbc="T T T"
Pu 7.518 -3.503 -0.321
Pu 1.468 -3.876 -0.969
O 1.690 -2.479 -2.677
O 6.608 -7.553 -0.174
O 7.297 -4.899 1.387
O 4.568 -2.588 -3.416
O 2.379 0.174 -1.116
O 3.244 -2.614 -0.552
O 4.419 -4.791 2.125
O 3.482 -0.269 -4.038
O 5.743 -4.765 -0.738
O 5.505 -7.110 2.748
O 4.972 -0.139 -1.468
O 4.015 -7.240 0.178
U 5.598 -6.060 0.921
U 3.389 -1.319 -2.211
Pb 4.129 -2.184 1.890
Pb 0.000 0.000 0.000
```

---

- Number 1 is which compound?
  MgAlCu2